# Zr5Co2H12 GGA-PBE optimized geometry
data_Zr5Co2H12
_cell_length_a 5.4358
_cell_length_b 5.5589
_cell_length_c 6.5538
_cell_angle_alpha 100.43
_cell_angle_beta 90.00
_cell_angle_gamma 119.27
_space_group_name_H-M_alt 'P 1'
_space_group_IT_number 1
_space_group_name_Hall 'P 1'
loop_
_atom_site_label
_atom_site_type_symbol
_atom_site_fract_x
_atom_site_fract_y
_atom_site_fract_z
H1 H 0.5880 0.6614 0.3971
H2 H 0.0733 0.6614 0.3971
Zr1 Zr 0.0000 0.0000 0.5000
Co1 Co 0.7605 0.0000 0.0000
H3 H 0.8589 0.3370 0.0875
Zr2 Zr 0.7267 0.4534 0.8443
H4 H 0.5216 0.0432 0.8528
H5 H 0.4120 0.3386 0.6029
H6 H 0.5220 0.6630 0.9125
H7 H 0.9267 0.3386 0.6029
H8 H 0.4784 0.9568 0.1472
Zr3 Zr 0.6569 0.3138 0.3637
H9 H 0.4780 0.3370 0.0875
H10 H 0.0285 0.0571 0.1674
Co2 Co 0.2395 0.0000 0.0000
H11 H 0.9715 0.9429 0.8326
H12 H 0.1411 0.6630 0.9125
Zr4 Zr 0.2733 0.5466 0.1557
Zr5 Zr 0.3431 0.6862 0.6363
# space-group type = C2/m
# crystal system = monoclinic
# E = -103.8 eV per formula unit
# density of states at the Fermi level = 6.62 states/eV per cell


# ZrCoH2 GGA-PBE optimized geometry
data_ZrCoH2
_cell_length_a 4.0753
_cell_length_b 6.7931
_cell_length_c 5.5023
_cell_angle_alpha 90.00
_cell_angle_beta 90.00
_cell_angle_gamma 90.00
_space_group_name_H-M_alt 'P 1'
_space_group_IT_number 1
_space_group_name_Hall 'P 1'
loop_
_atom_site_label
_atom_site_type_symbol
_atom_site_fract_x
_atom_site_fract_y
_atom_site_fract_z
H1 H 0.4672 0.7148 0.2575
Co1 Co 0.9701 0.0367 0.6615
Co2 Co 0.4701 0.9633 0.3385
Zr1 Zr 0.4709 0.3253 0.6201
H2 H 0.9672 0.7852 0.7575
H3 H 0.4672 0.2148 0.2425
Co3 Co 0.9701 0.5367 0.8385
Zr2 Zr 0.9709 0.1747 0.1201
Zr3 Zr 0.4709 0.8253 0.8799
H4 H 0.8649 0.9719 0.3829
H5 H 0.8649 0.4719 0.1171
Zr4 Zr 0.9709 0.6747 0.3799
H6 H 0.3649 0.0281 0.6171
H7 H 0.9672 0.2852 0.7425
Co4 Co 0.4701 0.4633 0.1615
H8 H 0.3649 0.5281 0.8829
# space-group type = Pna2_1
# crystal system = orthorhombic
# excess energy over the best structure of this formula in the dataset = 0 meV/atom
# E = -23.8 eV per formula unit
# density of states at the Fermi level = 3.74 states/eV per cell


# ZrCoH GGA-PBE optimized geometry
data_ZrCoH
_cell_length_a 3.2740
_cell_length_b 3.5609
_cell_length_c 3.5609
_cell_angle_alpha 120.00
_cell_angle_beta 90.00
_cell_angle_gamma 90.00
_space_group_name_H-M_alt 'P 1'
_space_group_IT_number 1
_space_group_name_Hall 'P 1'
loop_
_atom_site_label
_atom_site_type_symbol
_atom_site_fract_x
_atom_site_fract_y
_atom_site_fract_z
Co1 Co 0.1668 0.3333 0.6667
Zr1 Zr 0.6670 0.6667 0.3333
H1 H 0.1662 0.0000 0.0000
# space-group type = P-6m2
# crystal system = hexagonal
# excess energy over the best structure of this formula in the dataset = 317 meV/atom
# E = -19.1 eV per formula unit
# density of states at the Fermi level = 2.48 states/eV per cell


# Zr2CoH2 GGA-PBE optimized geometry
data_Zr2CoH2
_cell_length_a 6.2736
_cell_length_b 6.2736
_cell_length_c 2.9943
_cell_angle_alpha 90.00
_cell_angle_beta 90.00
_cell_angle_gamma 90.00
_space_group_name_H-M_alt 'P 1'
_space_group_IT_number 1
_space_group_name_Hall 'P 1'
loop_
_atom_site_label
_atom_site_type_symbol
_atom_site_fract_x
_atom_site_fract_y
_atom_site_fract_z
H1 H 0.3752 0.8752 0.0000
H2 H 0.8752 0.6248 0.0000
Zr1 Zr 0.8165 0.3165 0.5000
Zr2 Zr 0.6835 0.8165 0.5000
H3 H 0.6248 0.1248 0.0000
Co1 Co 0.5000 0.5000 0.0000
Zr3 Zr 0.1835 0.6835 0.5000
Co2 Co 0.0000 0.0000 0.0000
Zr4 Zr 0.3165 0.1835 0.5000
H4 H 0.1248 0.3752 0.0000
# space-group type = P4/mbm
# crystal system = tetragonal
# excess energy over the best structure of this formula in the dataset = 348 meV/atom
# E = -31.3 eV per formula unit
# density of states at the Fermi level = 5.97 states/eV per cell


# ZrCo3H3 GGA-PBE optimized geometry
data_ZrCo3H3
_cell_length_a 4.9390
_cell_length_b 4.9390
_cell_length_c 4.9390
_cell_angle_alpha 90.00
_cell_angle_beta 90.00
_cell_angle_gamma 90.00
_space_group_name_H-M_alt 'P 1'
_space_group_IT_number 1
_space_group_name_Hall 'P 1'
loop_
_atom_site_label
_atom_site_type_symbol
_atom_site_fract_x
_atom_site_fract_y
_atom_site_fract_z
Co1 Co 0.2500 0.5000 0.0000
Co2 Co 0.5000 0.0000 0.7500
Co3 Co 0.0000 0.2500 0.5000
H1 H 0.5000 0.7500 0.0000
Zr1 Zr 0.5000 0.5000 0.5000
Co4 Co 0.5000 0.0000 0.2500
H2 H 0.0000 0.5000 0.2500
Co5 Co 0.0000 0.7500 0.5000
H3 H 0.5000 0.2500 0.0000
H4 H 0.0000 0.5000 0.7500
Zr2 Zr 0.0000 0.0000 0.0000
H5 H 0.2500 0.0000 0.5000
H6 H 0.7500 0.0000 0.5000
Co6 Co 0.7500 0.5000 0.0000
# space-group type = Pm-3n
# crystal system = cubic
# E = -40.7 eV per formula unit
# density of states at the Fermi level = 9.26 states/eV per cell


# ZrCoH2 GGA-PBE optimized geometry
data_ZrCoH2
_cell_length_a 3.7500
_cell_length_b 3.7500
_cell_length_c 3.7500
_cell_angle_alpha 60.00
_cell_angle_beta 60.00
_cell_angle_gamma 60.00
_space_group_name_H-M_alt 'P 1'
_space_group_IT_number 1
_space_group_name_Hall 'P 1'
loop_
_atom_site_label
_atom_site_type_symbol
_atom_site_fract_x
_atom_site_fract_y
_atom_site_fract_z
Co1 Co 0.0000 0.0000 0.0000
Zr1 Zr 0.5000 0.5000 0.5000
H1 H 0.7500 0.7500 0.7500
H2 H 0.2500 0.2500 0.2500
# space-group type = Fm-3m
# crystal system = cubic
# excess energy over the best structure of this formula in the dataset = 361 meV/atom
# E = -22.3 eV per formula unit
# density of states at the Fermi level = 1.76 states/eV per cell


# Zr4Co2H GGA-PBE optimized geometry
data_Zr4Co2H
_cell_length_a 4.2274
_cell_length_b 4.2274
_cell_length_c 7.2201
_cell_angle_alpha 107.02
_cell_angle_beta 107.02
_cell_angle_gamma 90.00
_space_group_name_H-M_alt 'P 1'
_space_group_IT_number 1
_space_group_name_Hall 'P 1'
loop_
_atom_site_label
_atom_site_type_symbol
_atom_site_fract_x
_atom_site_fract_y
_atom_site_fract_z
Zr1 Zr 0.1907 0.1907 0.3815
Zr2 Zr 0.5000 0.0000 0.0000
Co1 Co 0.6321 0.6321 0.2643
H1 H 0.0000 0.0000 0.0000
Zr3 Zr 0.0000 0.5000 0.0000
Zr4 Zr 0.8093 0.8093 0.6185
Co2 Co 0.3679 0.3679 0.7357
# space-group type = I4/mmm
# crystal system = tetragonal
# excess energy over the best structure of this formula in the dataset = 53 meV/atom
# E = -52.8 eV per formula unit
# density of states at the Fermi level = 7.27 states/eV per cell


# ZrCo3H GGA-PBE optimized geometry
data_ZrCo3H
_cell_length_a 4.3275
_cell_length_b 5.2260
_cell_length_c 5.4730
_cell_angle_alpha 61.52
_cell_angle_beta 88.75
_cell_angle_gamma 89.99
_space_group_name_H-M_alt 'P 1'
_space_group_IT_number 1
_space_group_name_Hall 'P 1'
loop_
_atom_site_label
_atom_site_type_symbol
_atom_site_fract_x
_atom_site_fract_y
_atom_site_fract_z
Co1 Co 0.4485 0.1763 0.3666
H1 H 0.1920 0.3248 0.0695
Co2 Co 0.9391 0.0059 0.2163
Co3 Co 0.9391 0.4969 0.2165
Zr1 Zr 0.4535 0.6411 0.4372
H2 H 0.1920 0.8248 0.0695
Co4 Co 0.4450 0.1528 0.9225
Co5 Co 0.9356 0.4734 0.7724
Co6 Co 0.4450 0.6437 0.9227
Zr2 Zr 0.9305 0.0086 0.7018
# space-group type = C2/m
# crystal system = monoclinic
# excess energy over the best structure of this formula in the dataset = 15 meV/atom
# E = -34.1 eV per formula unit
# density of states at the Fermi level = 11.08 states/eV per cell


# Zr2CoH GGA-PBE optimized geometry
data_Zr2CoH
_cell_length_a 3.4522
_cell_length_b 3.4522
_cell_length_c 6.2362
_cell_angle_alpha 73.93
_cell_angle_beta 73.93
_cell_angle_gamma 60.00
_space_group_name_H-M_alt 'P 1'
_space_group_IT_number 1
_space_group_name_Hall 'P 1'
loop_
_atom_site_label
_atom_site_type_symbol
_atom_site_fract_x
_atom_site_fract_y
_atom_site_fract_z
Zr1 Zr 0.2448 0.2448 0.2655
Co1 Co 0.0000 0.0000 0.0000
Zr2 Zr 0.7552 0.7552 0.7345
H1 H 0.5000 0.5000 0.5000
# space-group type = R-3m
# crystal system = trigonal
# excess energy over the best structure of this formula in the dataset = 259 meV/atom
# E = -27.9 eV per formula unit
# density of states at the Fermi level = 4.51 states/eV per cell


# ZrCoH GGA-PBE optimized geometry
data_ZrCoH
_cell_length_a 3.1760
_cell_length_b 4.5739
_cell_length_c 4.7518
_cell_angle_alpha 90.00
_cell_angle_beta 90.00
_cell_angle_gamma 90.00
_space_group_name_H-M_alt 'P 1'
_space_group_IT_number 1
_space_group_name_Hall 'P 1'
loop_
_atom_site_label
_atom_site_type_symbol
_atom_site_fract_x
_atom_site_fract_y
_atom_site_fract_z
Zr1 Zr 0.3116 0.7995 0.1476
Co1 Co 0.8117 0.2995 0.0998
H1 H 0.8116 0.5495 0.3964
Co2 Co 0.8116 0.7995 0.6931
Zr2 Zr 0.3116 0.2995 0.6453
H2 H 0.8116 0.0495 0.3965
# space-group type = Pmma
# crystal system = orthorhombic
# excess energy over the best structure of this formula in the dataset = 0 meV/atom
# E = -20.0 eV per formula unit
# density of states at the Fermi level = 3.16 states/eV per cell


# Zr2CoH GGA-PBE optimized geometry
data_Zr2CoH
_cell_length_a 6.0236
_cell_length_b 6.0236
_cell_length_c 5.3957
_cell_angle_alpha 56.07
_cell_angle_beta 56.07
_cell_angle_gamma 90.00
_space_group_name_H-M_alt 'P 1'
_space_group_IT_number 1
_space_group_name_Hall 'P 1'
loop_
_atom_site_label
_atom_site_type_symbol
_atom_site_fract_x
_atom_site_fract_y
_atom_site_fract_z
H1 H 0.5000 0.5000 0.0000
Zr1 Zr 0.5676 0.1250 0.2500
Co1 Co 0.7500 0.2500 0.5000
Zr2 Zr 0.1824 0.6250 0.2500
Zr3 Zr 0.3750 0.4324 0.7500
Zr4 Zr 0.8750 0.8176 0.7500
Co2 Co 0.0000 0.0000 0.0000
H2 H 0.2500 0.7500 0.5000
# space-group type = I-42d
# crystal system = tetragonal
# excess energy over the best structure of this formula in the dataset = 191 meV/atom
# E = -28.2 eV per formula unit
# density of states at the Fermi level = 7.99 states/eV per cell


# Zr2CoH2 GGA-PBE optimized geometry
data_Zr2CoH2
_cell_length_a 3.1682
_cell_length_b 3.1682
_cell_length_c 6.4328
_cell_angle_alpha 75.74
_cell_angle_beta 75.74
_cell_angle_gamma 90.00
_space_group_name_H-M_alt 'P 1'
_space_group_IT_number 1
_space_group_name_Hall 'P 1'
loop_
_atom_site_label
_atom_site_type_symbol
_atom_site_fract_x
_atom_site_fract_y
_atom_site_fract_z
Co1 Co 0.0000 0.0000 0.0000
H1 H 0.2500 0.7500 0.5000
H2 H 0.7500 0.2500 0.5000
Zr1 Zr 0.6353 0.6353 0.7294
Zr2 Zr 0.3647 0.3647 0.2706
# space-group type = I4/mmm
# crystal system = tetragonal
# excess energy over the best structure of this formula in the dataset = 0 meV/atom
# E = -33.0 eV per formula unit
# density of states at the Fermi level = 2.41 states/eV per cell